AlInCoO4: relaxed, GGA+U.

D(E_F)   0.0 states/eV per cell
Space-group type   Imma, No. 74
Electronic total energy   -6.353 eV per atom

a b c (Å): 5.990 6.070 6.070
angles (deg): 61.10 60.43 60.43
Positions (direct):
Al 0.372 0.378 0.878
Al 0.628 0.622 0.122
In 0.000 0.000 0.000
In 0.000 0.500 0.500
Co 0.500 0.000 0.500
Co 0.000 0.000 0.500
O 0.744 0.749 0.249
O 0.255 0.743 0.747
O 0.745 0.753 0.757
O 0.258 0.749 0.249
O 0.742 0.251 0.751
O 0.745 0.257 0.253
O 0.256 0.251 0.751
O 0.255 0.247 0.243